# 1
Computed, not measured: a geometry-optimized FeBMo2Cl structure at the PBE level of DFT.

Cell lengths 4.5912, 4.5912, 3.6897 Å; angles 90.00, 90.00, 90.00 degrees
Last column: nearest neighbours and their distance in Å.
Space group P4/mmm (No. 123)
Inequivalent atoms, fractional coordinates:
1 Fe 0.0000 0.0000 0.0000  2 B 1.84
2 B 0.0000 0.0000 0.5000  2 Fe 1.84
3 Mo 0.0000 0.5000 0.0000  2 Fe 2.30
4 Cl 0.5000 0.5000 0.5000  8 Mo 2.95, 4 B 3.25

Properties
The value obtained for the density is 6.277 g/cm³. The calculation puts the formation energy without anion corrections at 1.1678 eV per atom. The total magnetization comes out at 0.408 μB per atom.

***

# 2
Computed, not measured: a geometry-optimized Nb2FeBCl structure at the PBE level of DFT.

Cell lengths 4.6441, 4.6441, 3.9746 Å; angles 90.00, 90.00, 90.00 degrees
Last column: nearest neighbours and their distance in Å.
Space group P4/mmm (No. 123)
Inequivalent atoms, fractional coordinates:
1 Nb 0.0000 0.5000 0.0000  2 Fe 2.32
2 Fe 0.0000 0.0000 0.0000  2 Cl 1.99
3 B 0.5000 0.5000 0.5000  8 Nb 3.06, 4 Cl 3.28
4 Cl 0.0000 0.0000 0.5000  2 Fe 1.99

Properties
The value obtained for the density is 5.577 g/cm³. The calculation puts the formation energy without anion corrections at 1.3870 eV per atom. The total magnetization comes out at 0.000 μB per atom.

***

# 3
Computed, not measured: a geometry-optimized FeNi2BCl structure at the PBE level of DFT.

Cell lengths 4.0725, 4.0725, 4.2226 Å; angles 90.00, 90.00, 90.00 degrees
Last column: nearest neighbours and their distance in Å.
Space group P4/mmm (No. 123)
Inequivalent atoms, fractional coordinates:
1 Fe 0.0000 0.0000 0.0000  2 Cl 2.11
2 Ni 0.0000 0.5000 0.5000  2 Cl 2.04
3 B 0.5000 0.5000 0.0000  4 Fe 2.88, 8 Ni 2.93
4 Cl 0.0000 0.0000 0.5000  4 Ni 2.04, 2 Fe 2.11

Properties
The value obtained for the density is 5.204 g/cm³. The calculation puts the formation energy without anion corrections at 1.3688 eV per atom. The total magnetization comes out at 0.454 μB per atom.